No. 1
DFT (GGA-PBE) results for an optimized crystal structure of La3Tb6Dy.

The structure in POSCAR format:
```
La3Tb6Dy
1.0
-3.572 -3.863 3.651
3.019 -8.649 -6.197
5.981 2.843 8.859
Dy La Tb
2 6 12
Cartesian
1.371 -8.839 -1.037 Dy
4.980 0.168 6.407 Dy
4.576 -1.887 3.292 La
2.122 -6.409 1.724 La
-1.548 -3.432 5.715 La
-0.439 -4.129 0.447 La
4.318 -7.217 7.450 La
5.427 -7.913 2.182 La
1.139 -3.524 3.583 Tb
2.764 -0.937 11.490 Tb
5.952 -3.297 6.481 Tb
2.654 -2.645 0.379 Tb
1.657 -0.526 5.210 Tb
-1.375 -7.292 0.703 Tb
4.190 -5.493 4.486 Tb
3.307 -6.065 -1.534 Tb
1.804 -9.662 -4.297 Tb
2.859 -2.806 7.093 Tb
2.920 -10.064 1.973 Tb
5.706 -4.613 1.282 Tb
```

## Properties
* polymorph energy (0 for the lowest one): 0 meV/atom
* DFT formation energy: 148 meV/atom


No. 2
DFT (GGA-PBE) results for an optimized crystal structure of MgTa2Mn.

The structure in POSCAR format:
```
MgTa2Mn
1.0
-3.927 2.042 3.105
-0.226 -5.342 -0.982
0.716 -0.912 2.501
Ta Mg Mn
2 1 1
Cartesian
0.000 0.000 0.000 Ta
-1.606 0.565 2.803 Ta
0.245 -3.127 0.759 Mg
-2.077 -1.650 1.061 Mn
```

## Properties
* DFT formation energy: 316 meV/atom


No. 3
DFT (GGA-PBE) results for an optimized crystal structure of CaPd4Au.

The structure in POSCAR format:
```
CaPd4Au
1.0
5.351 0.000 0.000
2.676 4.634 0.000
2.676 1.545 4.369
Ca Au Pd
1 1 4
Cartesian
2.676 1.545 1.092 Ca
0.000 0.000 0.000 Au
4.009 3.864 2.733 Pd
5.351 3.089 0.541 Pd
6.693 3.864 2.733 Pd
5.351 1.540 2.733 Pd
```

## Properties
* polymorph energy (0 for the lowest one): 0 meV/atom
* DFT formation energy: -366 meV/atom


No. 4
DFT (GGA-PBE) results for an optimized crystal structure of NbPb3O6.

The structure in POSCAR format:
```
NbPb3O6
1.0
5.949 0.000 0.000
0.000 7.890 -0.026
0.000 -1.785 7.685
O Nb Pb
12 2 6
Cartesian
4.361 2.072 2.783 O
0.926 1.686 6.849 O
1.167 5.555 1.835 O
3.900 4.418 0.811 O
3.243 7.345 0.409 O
0.926 -0.196 4.488 O
1.387 2.251 2.641 O
4.361 3.854 5.019 O
0.268 -1.240 7.251 O
1.387 4.032 4.876 O
4.142 0.549 5.825 O
3.900 6.300 3.172 O
0.035 0.197 6.105 Nb
3.009 5.908 1.554 Nb
5.885 0.265 2.341 Pb
2.910 2.223 0.781 Pb
5.885 3.882 6.879 Pb
5.843 3.911 3.145 Pb
2.868 2.193 4.514 Pb
2.910 5.839 5.319 Pb
```

## Properties
* energy relative to the elements, uncorrected: -1543 meV/atom


Number 1: theoretical density 7.513 g/cm³. Number 2: theoretical density 10.740 g/cm³. Number 3: theoretical density 10.157 g/cm³. Number 4: theoretical density 7.468 g/cm³.